Below is a geometry-optimized FeCo2BiO6 structure, with properties calculated at the GGA+U level.

```
10
Lattice="-1.389 4.268 -2.865 -3.700 3.315 1.834 1.678 5.066 1.808" Properties=species:S:1:pos:R:3 pbc="T T T"
Fe -3.177 9.021 0.175
Co -1.900 6.181 0.273
Co 1.442 4.883 1.652
Bi -1.477 2.693 -0.207
O -1.235 4.699 -0.922
O -3.200 5.193 1.513
O -3.147 7.238 -0.970
O -2.018 7.984 1.447
O -0.132 7.225 -0.541
O -0.462 5.639 1.840
```

Uncorrected energy ... -6.0215 eV per atom